(1)
VASP calculation (GGA-PBE) on a geometry-optimized ScCuNi2H structure.

```
ScCuNi2H
1.0
3.730 0.000 0.000
0.000 3.730 0.000
0.000 0.000 4.005
Ni H Cu Sc
2 1 1 1
Direct
0.000 0.500 0.000
0.500 0.000 0.000
0.000 0.000 0.000
0.500 0.500 0.500
0.000 0.000 0.500
```

DOS(E_F) = 2.20 states/eV per cell
Energy above the most stable polymorph in this dataset = 0.000 eV/atom
DFT total energy = -5.320 eV per atom
SG = P4/mmm



(2)
VASP calculation (GGA-PBE) on a geometry-optimized CuNiHSe2 structure.

```
CuNiHSe2
1.0
-3.190 2.312 2.292
0.048 -2.258 2.344
3.255 2.331 2.178
Se Cu Ni H
2 1 1 1
Direct
0.000 0.000 0.500
0.500 0.000 0.000
0.000 0.500 0.000
0.500 0.500 0.500
0.000 0.000 0.000
```

DOS(E_F) = 3.00 states/eV per cell
DFT total energy = -3.541 eV per atom
SG = P4/mmm



(3)
VASP calculation (GGA-PBE) on a geometry-optimized CuSiNi2H structure.

```
CuSiNi2H
1.0
-2.013 -1.670 -2.520
2.940 -0.377 -2.099
0.695 -3.162 1.541
Si Ni H Cu
1 2 1 1
Direct
0.500 0.500 0.500
0.500 0.000 0.000
0.000 0.500 0.000
0.000 0.000 0.000
0.000 0.000 0.500
```

DOS(E_F) = 2.42 states/eV per cell
DFT total energy = -5.060 eV per atom
SG = P4/mmm



(4)
VASP calculation (GGA-PBE) on a geometry-optimized Cu2NiSnH structure.

```
Cu2NiSnH
1.0
-3.026 -2.401 -0.052
1.705 -2.089 -2.767
1.700 -2.201 2.710
Sn Ni Cu H
1 1 2 1
Direct
0.500 0.500 0.500
0.000 0.000 0.500
0.000 0.500 0.000
0.500 0.000 0.000
0.000 0.000 0.000
```

DOS(E_F) = 1.87 states/eV per cell
DFT total energy = -4.225 eV per atom
SG = P4/mmm



(5)
VASP calculation (GGA-PBE) on a geometry-optimized Sr2CuNi3H12 structure.

```
Sr2CuNi3H12
1.0
-3.651 1.938 -4.338
-5.026 -3.024 -1.225
-5.316 2.368 1.427
H Ni Cu Sr
12 3 1 2
Direct
0.322 0.912 0.322
0.913 0.349 0.913
0.651 0.087 0.087
0.087 0.087 0.651
0.349 0.913 0.913
0.678 0.678 0.088
0.087 0.651 0.087
0.678 0.088 0.678
0.088 0.678 0.678
0.912 0.322 0.322
0.913 0.913 0.349
0.322 0.322 0.912
0.000 0.500 0.000
0.000 0.000 0.500
0.500 0.000 0.000
0.000 0.000 0.000
0.378 0.378 0.378
0.622 0.622 0.622
```

DOS(E_F) = 2.86 states/eV per cell
DFT total energy = -3.814 eV per atom
SG = R-3m



(6)
VASP calculation (GGA-PBE) on a geometry-optimized Sr2CuNiH6 structure.

```
Sr2CuNiH6
1.0
5.249 -0.008 -0.002
-0.008 5.249 -0.002
-2.622 -2.622 3.747
Cu H Sr Ni
1 6 2 1
Direct
0.500 0.500 0.000
0.238 0.238 0.000
0.763 0.764 0.526
0.237 0.237 0.473
0.238 0.762 0.000
0.762 0.239 0.000
0.762 0.763 0.000
0.750 0.250 0.500
0.250 0.750 0.500
0.000 0.000 0.000
```

DOS(E_F) = 2.63 states/eV per cell
DFT total energy = -3.708 eV per atom
SG = Fmmm